Record 1
Computed, not measured: crystalline PaTiS2 at its relaxed geometry at the PBE-GGA level of DFT.

Computed properties:
**Formation energy (no corrections)**: -3.692 eV/f.u.
**Total magnetic moment**: 1.16 μB/f.u.
**Density**: 6.92 g/cm3
**Symmetry**: R-3m, No. 166

a b c (Å): 3.349 3.349 8.692
angles (deg): 78.89 78.89 60.00
Site moments in Bohr magnetons follow the coordinates.
Element x y z (fractional)
S1 0.108 0.108 0.676  0.00
S2 0.892 0.892 0.324  0.00
Pa1 0.000 0.000 0.000  0.74
Ti1 0.500 0.500 0.500  0.09

Record 2
Computed, not measured: crystalline AgI at its relaxed geometry at the PBE-GGA level of DFT.

Computed properties:
**Formation energy (no corrections)**: 0.263 eV/f.u.
**Total magnetic moment**: 0.00 μB/f.u.
**Density**: 6.84 g/cm3
**Symmetry**: Pm-3m, No. 221

a b c (Å): 3.849 3.849 3.849
angles (deg): 90.00 90.00 90.00
Element x y z (fractional)
I1 0.500 0.500 0.500
Ag1 0.000 0.000 0.000

Record 3
Computed, not measured: crystalline Tl8SbTe6 at its relaxed geometry at the PBE-GGA level of DFT.

Computed properties:
**Formation energy (no corrections)**: -2.959 eV/f.u.
**Total magnetic moment**: 0.00 μB/f.u.
**Density**: 7.50 g/cm3
**Symmetry**: Pmn2_1, No. 31

a b c (Å): 11.516 9.389 10.334
angles (deg): 90.00 90.00 90.00
Element x y z (fractional)
Tl1 0.250 0.000 0.889
Tl2 0.750 0.500 0.389
Tl3 0.974 0.755 0.158
Tl4 0.026 0.745 0.658
Tl5 0.026 0.255 0.658
Tl6 0.974 0.245 0.158
Tl7 0.473 0.745 0.659
Tl8 0.527 0.755 0.159
Tl9 0.527 0.245 0.159
Tl10 0.473 0.255 0.659
Tl11 0.750 0.798 0.902
Tl12 0.250 0.702 0.402
Tl13 0.250 0.298 0.402
Tl14 0.750 0.202 0.902
Tl15 0.249 0.000 0.564
Tl16 0.751 0.500 0.064
Sb1 0.750 0.000 0.424
Sb2 0.250 0.500 0.924
Te1 0.530 0.000 0.889
Te2 0.470 0.500 0.389
Te3 0.971 0.000 0.888
Te4 0.029 0.500 0.388
Te5 0.020 0.000 0.380
Te6 0.980 0.500 0.880
Te7 0.479 0.000 0.381
Te8 0.521 0.500 0.881
Te9 0.250 0.738 0.093
Te10 0.750 0.762 0.593
Te11 0.750 0.238 0.593
Te12 0.250 0.262 0.093

Record 4
Computed, not measured: crystalline CuBiPO2 at its relaxed geometry at the PBE-GGA level of DFT.

Computed properties:
**Formation energy (no corrections)**: 1.527 eV/f.u.
**Total magnetic moment**: 0.00 μB/f.u.
**Density**: 5.93 g/cm3
**Symmetry**: P4/mmm, No. 123

a b c (Å): 4.075 4.075 5.656
angles (deg): 90.00 90.00 90.00
Element x y z (fractional)
O1 0.000 0.500 0.000
O2 0.500 0.000 0.000
P1 0.000 0.000 0.500
Bi1 0.000 0.000 0.000
Cu1 0.500 0.500 0.500

Record 5
Computed, not measured: crystalline KTlCdCl4 at its relaxed geometry at the PBE-GGA level of DFT.

Computed properties:
**Formation energy (no corrections)**: -9.177 eV/f.u.
**Total magnetic moment**: 0.00 μB/f.u.
**Density**: 3.51 g/cm3
**Symmetry**: P2_1/m, No. 11

a b c (Å): 7.556 7.464 8.758
angles (deg): 90.00 107.81 90.00
Element x y z (fractional)
K1 0.792 0.750 0.442
K2 0.208 0.250 0.558
Tl1 0.749 0.750 0.937
Tl2 0.251 0.250 0.063
Cd1 0.253 0.750 0.308
Cd2 0.747 0.250 0.692
Cl1 0.981 0.500 0.748
Cl2 0.019 0.000 0.252
Cl3 0.019 0.500 0.252
Cl4 0.981 0.000 0.748
Cl5 0.448 0.750 0.127
Cl6 0.552 0.250 0.873
Cl7 0.453 0.750 0.591
Cl8 0.547 0.250 0.409

Record 6
Computed, not measured: crystalline BaIn2Mo at its relaxed geometry at the PBE-GGA level of DFT.

Computed properties:
**Energy relative to the elements**: 0.630 eV per atom
**Total magnetic moment**: 3.20 μB/f.u.
**Density**: 6.48 g/cm3
**Symmetry**: Imm2, No. 44

a b c (Å): 5.903 5.903 5.903
angles (deg): 135.68 122.14 75.68
Site moments in Bohr magnetons follow the coordinates.
Element x y z (fractional)
Ba1 0.250 0.750 0.500  0.06
In1 0.966 0.966 0.000  -0.04
In2 0.741 0.241 0.500  -0.07
Mo1 0.543 0.543 0.000  2.73

Record 7
Computed, not measured: crystalline Ca2HgPbW at its relaxed geometry at the PBE-GGA level of DFT.

Computed properties:
**Energy relative to the elements**: 0.819 eV per atom
**Total magnetic moment**: 2.46 μB/f.u.
**Density**: 6.74 g/cm3
**Symmetry**: P4/mmm, No. 123

a b c (Å): 5.649 5.182 5.649
angles (deg): 90.00 90.00 90.00
Site moments in Bohr magnetons follow the coordinates.
Element x y z (fractional)
Pb1 0.500 0.500 0.500  -0.09
Ca1 0.000 0.000 0.500  -0.01
Ca2 0.500 0.000 0.000  -0.02
Hg1 0.000 0.000 0.000  0.03
W1 0.000 0.500 0.000  2.05

Record 8
Computed, not measured: crystalline TaGePS2 at its relaxed geometry at the PBE-GGA level of DFT.

Computed properties:
**Formation energy (no corrections)**: 0.318 eV/f.u.
**Total magnetic moment**: 0.00 μB/f.u.
**Density**: 5.19 g/cm3
**Symmetry**: P4/mmm, No. 123

a b c (Å): 4.708 4.708 5.038
angles (deg): 90.00 90.00 90.00
Element x y z (fractional)
P1 0.000 0.000 0.500
Ge1 0.500 0.500 0.500
S1 0.000 0.500 0.000
S2 0.500 0.000 0.000
Ta1 0.000 0.000 0.000

Record 9
Computed, not measured: crystalline La2SmTmP4 at its relaxed geometry at the PBE-GGA level of DFT.

Computed properties:
**Energy relative to the elements**: -1.564 eV per atom
**Total magnetic moment**: 0.00 μB/f.u.
**Density**: 5.91 g/cm3
**Symmetry**: P2/m, No. 10

a b c (Å): 4.155 7.191 7.190
angles (deg): 70.55 90.00 90.00
Element x y z (fractional)
La1 0.000 0.000 0.000
La2 0.500 0.000 0.500
Sm1 0.500 0.500 0.000
Tm1 0.000 0.500 0.500
P1 0.000 0.739 0.749
P2 0.000 0.261 0.251
P3 0.500 0.736 0.259
P4 0.500 0.264 0.741

Record 10
Computed, not measured: crystalline Rb2NbBF at its relaxed geometry at the PBE-GGA level of DFT.

Computed properties:
**Formation energy (no corrections)**: 4.561 eV/f.u.
**Total magnetic moment**: 5.47 μB/f.u.
**Density**: 2.36 g/cm3
**Symmetry**: P4/mmm, No. 123

a b c (Å): 7.050 4.162 7.050
angles (deg): 90.00 90.00 90.00
Site moments in Bohr magnetons follow the coordinates.
Element x y z (fractional)
Nb1 0.000 0.000 0.000  2.67
B1 0.500 0.500 0.500  0.51
Rb1 0.000 0.000 0.500  0.04
Rb2 0.500 0.000 0.000  0.05
F1 0.000 0.500 0.000  0.00

Record 11
Computed, not measured: crystalline Nd3As2P at its relaxed geometry at the PBE-GGA level of DFT.

Computed properties:
**Energy relative to the elements**: -1.518 eV per atom
**Total magnetic moment**: 0.00 μB/f.u.
**Density**: 6.31 g/cm3
**Symmetry**: Immm, No. 71

a b c (Å): 4.240 5.992 7.342
angles (deg): 114.08 106.78 90.00
Element x y z (fractional)
Nd1 0.837 0.337 0.175
Nd2 0.163 0.663 0.825
Nd3 0.500 0.000 0.500
As1 0.832 0.832 0.165
As2 0.168 0.168 0.835
P1 0.500 0.500 0.500

Record 12
Computed, not measured: crystalline MgCuReAu2 at its relaxed geometry at the PBE-GGA level of DFT.

Computed properties:
**Energy relative to the elements**: 1.428 eV per atom
**Total magnetic moment**: 2.45 μB/f.u.
**Density**: 11.50 g/cm3
**Symmetry**: P4/mmm, No. 123

a b c (Å): 4.701 4.365 4.701
angles (deg): 90.00 90.00 90.00
Site moments in Bohr magnetons follow the coordinates.
Element x y z (fractional)
Re1 0.500 0.500 0.500  2.33
Mg1 0.000 0.000 0.000  -0.01
Au1 0.000 0.000 0.500  -0.05
Au2 0.500 0.000 0.000  -0.01
Cu1 0.000 0.500 0.000  -0.01